No. 1
This record from the Alexandria database describes a relaxed BeFeTc2 crystal. The functional is GGA-PBE.

Cell: 8.9699 8.9699 8.9699 Å, 157.17 157.17 32.50°
Closest atoms and distances in Å follow each position.
Fractional coordinates of all 8 atoms:
Be  0.0000  0.0000  0.0000  4 Tc 2.46, 4 Fe 2.51
Be  0.7500  0.2500  0.5000  4 Tc 2.46, 4 Fe 2.51
Fe  0.2500  0.7500  0.5000  4 Be 2.51, 4 Tc 2.52
Fe  0.5000  0.5000  0.0000  4 Be 2.51, 4 Tc 2.52
Tc  0.1009  0.6250  0.9759  4 Tc 2.39-2.63, 2 Be 2.46, 2 Fe 2.52
Tc  0.3750  0.3509  0.4759  4 Tc 2.39-2.63, 2 Be 2.46, 2 Fe 2.52
Tc  0.6491  0.1250  0.0241  4 Tc 2.39-2.63, 2 Be 2.46, 2 Fe 2.52
Tc  0.8750  0.8991  0.5241  4 Tc 2.39-2.63, 2 Be 2.46, 2 Fe 2.52

## Properties
**Space-group type**: No. 122
**ΔH_f (0 K)**: 0.5746 eV/atom

No. 2
This record from the Alexandria database describes a relaxed Nb2HPd crystal. The functional is GGA-PBE.

Cell: 5.0060 4.7059 10.3095 Å, 90.00 115.91 90.00°
Closest atoms and distances in Å follow each position.
Fractional coordinates of all 16 atoms:
Nb  0.0448  0.2339  0.1034  2 H 1.97-2.07
Nb  0.0448  0.2661  0.6034  2 H 1.97-2.07
Nb  0.3438  0.2419  0.9259  2 H 1.94-2.10
Nb  0.3438  0.2581  0.4259  2 H 1.94-2.10
Nb  0.6562  0.7419  0.5741  2 H 1.94-2.10
Nb  0.6562  0.7581  0.0741  2 H 1.94-2.10
Nb  0.9552  0.7339  0.3966  2 H 1.97-2.07
Nb  0.9552  0.7661  0.8966  2 H 1.97-2.07
H  0.2695  0.5311  0.0406  4 Nb 1.94-2.10
H  0.2695  0.9689  0.5406  4 Nb 1.94-2.10
H  0.7305  0.0311  0.4594  4 Nb 1.94-2.10
H  0.7305  0.4689  0.9594  4 Nb 1.94-2.10
Pd  0.3314  0.7466  0.2518  1 H 2.30
Pd  0.3314  0.7534  0.7518  1 H 2.30
Pd  0.6686  0.2466  0.2482  1 H 2.30
Pd  0.6686  0.2534  0.7482  1 H 2.30

## Properties
**Space-group type**: No. 14
**E above lowest polymorph**: 0.0345 eV per atom

No. 3
This record from the Alexandria database describes a relaxed CoSbAs2 crystal. The functional is GGA-PBE.

Cell: 6.9737 6.9737 6.9737 Å, 131.00 131.00 71.81°
Closest atoms and distances in Å follow each position.
Fractional coordinates of all 8 atoms:
Co  0.0000  0.0000  0.0000  4 As 2.26
Co  0.7500  0.2500  0.5000  4 As 2.26
Sb  0.2500  0.7500  0.5000  4 As 2.76
Sb  0.5000  0.5000  0.0000  4 As 2.76
As  0.0498  0.6250  0.9248  2 Co 2.26
As  0.3750  0.2998  0.4248  2 Co 2.26
As  0.7002  0.1250  0.0752  2 Co 2.26
As  0.8750  0.9502  0.5752  2 Co 2.26

## Properties
**Space-group type**: No. 122
**Formation energy without anion corrections**: 0.3 eV/f.u.

No. 4
This record from the Alexandria database describes a relaxed TcHgGeOsW crystal. The functional is GGA-PBE.

Cell: 4.6876 4.6876 7.1280 Å, 119.89 119.89 39.69°
Closest atoms and distances in Å follow each position.
Fractional coordinates of all 5 atoms:
Tc  0.0000  0.0000  0.0000  3 W 2.55-2.67, 2 Ge 2.67
Hg  0.8310  0.8310  0.2668  2 W 2.93, 2 Ge 2.94, 3 Tc 2.96-2.97, 3 Os 2.98-3.02, 2 Hg 3.18
Ge  0.4273  0.4273  0.6616  3 Os 2.57-2.63, 2 Tc 2.67, 3 W 2.80-2.81
Os  0.6628  0.6628  0.5413  3 Ge 2.57-2.63, 2 W 2.64
W  0.2373  0.2373  0.8748  3 Tc 2.55-2.67, 2 Os 2.64, 3 Ge 2.80-2.81

## Properties
**Space-group type**: No. 8
**E above lowest polymorph**: 0.2211 eV per atom
**ΔH_f (0 K)**: 0.4241 eV/atom

no.,DOS at the Fermi energy (states/eV per cell),calculated volume (Å³ per atom),total magnetic moment (μB per formula unit)
1,8.43,13.6,1.332
2,13.77,13.7,0.000
3,3.41,23.6,0.000
4,2.86,17.0,0.000